A relaxed structure of Hf2TcI. Source: the Alexandria database, functional PBE-GGA.

a = 6.880 Å, b = 6.880 Å, c = 6.880 Å
α = 90.00°, β = 90.00°, γ = 90.00°
Space group Fm-3m (No. 225)
Asymmetric unit:
Hf  0.250  0.250  0.250 x8
Tc  0.000  0.000  0.000 x4
I  0.000  0.000  0.500 x4

Output
- uncorrected formation energy (eV per atom) = 0.3895
- uncorrected energy (eV per atom) = -7.57
- size of the total moment (Bohr magnetons per cell) = 1.62